## VAg3F (PBE+U)

Data for crystalline VAg3F at its relaxed geometry.

The value obtained for the total magnetic moment is 3.817 μB per formula unit. The value obtained for the total energy is -2.521 eV per atom. The calculation puts the energy relative to the lowest polymorph listed for this composition at 692.6 meV per atom.

It has space group Pm-3m (No. 221), with a = 5.108 Å, b = 5.108 Å, c = 5.108 Å, α = 90.00°, β = 90.00° and γ = 90.00°. Symmetry generates all atoms from V at (0.000, 0.000, 0.000), Ag at (0.000, 0.000, 0.500) and F at (0.500, 0.500, 0.500).